# PBE-GGA Ca3RuF, relaxed
data_Ca3RuF
_space_group_name_H-M_alt 'P m -3 m'
_space_group_IT_number 221
_space_group_name_Hall '-P 4 2 3'
_cell_length_a 4.7604
_cell_length_b 4.7604
_cell_length_c 4.7604
_cell_angle_alpha 90.00
_cell_angle_beta 90.00
_cell_angle_gamma 90.00
loop_
_atom_site_label
_atom_site_type_symbol
_atom_site_fract_x
_atom_site_fract_y
_atom_site_fract_z
_atom_site_occupancy
Ca1 Ca 0.0000 0.0000 0.5000 1
Ru1 Ru 0.5000 0.5000 0.5000 1
F1 F 0.0000 0.0000 0.0000 1
# Theoretical density (g/cm³): 3.70
# Total magnetization (μB per formula unit): 0.000
# Relative energy among the computed polymorphs (eV per atom): 0.000
# Final energy (eV/atom): -4.271
# Uncorrected formation energy (eV/atom): -0.8410


# PBE-GGA CaEuZn, relaxed
data_CaEuZn
_space_group_name_H-M_alt 'I 4 m m'
_space_group_IT_number 107
_space_group_name_Hall 'I 4 -2'
_cell_length_a 3.7418
_cell_length_b 3.7418
_cell_length_c 13.3585
_cell_angle_alpha 90.00
_cell_angle_beta 90.00
_cell_angle_gamma 90.00
loop_
_atom_site_label
_atom_site_type_symbol
_atom_site_fract_x
_atom_site_fract_y
_atom_site_fract_z
_atom_site_occupancy
Ca1 Ca 0.0000 0.0000 0.0000 1
Eu1 Eu 0.0000 0.0000 0.2728 1
Zn1 Zn 0.0000 0.0000 0.6329 1
# Theoretical density (g/cm³): 4.57
# Total magnetization (μB per formula unit): 7.288
# Formation enthalpy at 0 K (eV per atom): -0.176
# Relative energy among the computed polymorphs (eV per atom): 0.000
# Final energy (eV/atom): -4.693


# PBE-GGA Nd2Sm2Er5, relaxed
data_Nd2Sm2Er5
_space_group_name_H-M_alt 'C 1 2/m 1'
_space_group_IT_number 12
_cell_length_a 21.5161
_cell_length_b 3.4922
_cell_length_c 8.2734
_cell_angle_alpha 90.00
_cell_angle_beta 99.85
_cell_angle_gamma 90.00
loop_
_space_group_symop_operation_xyz
'x,y,z'
'-x,-y,-z'
'-x,y,-z'
'x,-y,z'
'x+1/2,y+1/2,z'
'-x+1/2,-y+1/2,-z'
'-x+1/2,y+1/2,-z'
'x+1/2,-y+1/2,z'
loop_
_atom_site_label
_atom_site_type_symbol
_atom_site_fract_x
_atom_site_fract_y
_atom_site_fract_z
_atom_site_occupancy
Nd1 Nd 0.1848 0.0000 0.1442 1
Sm1 Sm 0.0461 0.5000 0.3547 1
Er1 Er 0.0000 0.0000 0.0000 1
Er2 Er 0.0996 0.0000 0.7373 1
Er3 Er 0.1903 0.5000 0.5250 1
# Theoretical density (g/cm³): 7.73
# Total magnetization (μB per formula unit): 0.000
# Formation enthalpy at 0 K (eV per atom): 0.239
# Relative energy among the computed polymorphs (eV per atom): 0.031
# Final energy (eV/atom): -4.404


# PBE-GGA Sr2SbP2, relaxed
data_Sr2SbP2
_space_group_name_H-M_alt 'I 4/m m m'
_space_group_IT_number 139
_space_group_name_Hall '-I 4 2'
_cell_length_a 3.8102
_cell_length_b 3.8102
_cell_length_c 18.4449
_cell_angle_alpha 90.00
_cell_angle_beta 90.00
_cell_angle_gamma 90.00
loop_
_atom_site_label
_atom_site_type_symbol
_atom_site_fract_x
_atom_site_fract_y
_atom_site_fract_z
_atom_site_occupancy
Sr1 Sr 0.0000 0.0000 0.1192 1
Sb1 Sb 0.0000 0.0000 0.5000 1
P1 P 0.0000 0.5000 0.2500 1
# Theoretical density (g/cm³): 4.45
# Total magnetization (μB per formula unit): 0.000
# Relative energy among the computed polymorphs (eV per atom): 0.069
# Final energy (eV/atom): -4.317
# Uncorrected formation energy (eV/atom): -0.6555